# 1
Material: NaAsPdPb
Method: DFT, PBE
State: relaxed

Cell lengths 7.4945, 4.3054, 6.6992 Å; angles 90.00, 111.75, 90.00 degrees
Closest atoms and distances in Å follow each position.
Space group Cm (No. 8)
Asymmetric unit:
Na: 0.0000 0.0000 0.0000 x2  3 As 3.05-3.06, 3 Pd 3.31-3.32
As: 0.4277 0.0000 0.2840 x2  3 Pd 2.53
Pd: 0.2822 0.5000 0.3501 x2  3 As 2.53
Pb: 0.1971 0.0000 0.5988 x2  3 Pd 2.93, 3 As 3.16-3.18

Summary:
M_tot ... 0.000 μB per formula unit
Theoretical density ... 6.8 g/cm³
Energy relative to the elements ... -32 kJ/mol of atoms
DOS(E_F) ... 2.82 states/eV per cell


# 2
Material: Fe8H6Rh
Method: DFT, PBE
State: relaxed

Cell lengths 4.6208, 4.6208, 19.4830 Å; angles 90.00, 90.00, 120.00 degrees
Closest atoms and distances in Å follow each position.
Space group R-3 (No. 148, hexagonal axes)
Asymmetric unit:
Fe: 0.0000 0.0000 0.1665 x6  6 H 1.88
Fe: 0.0008 0.3357 0.3863 x18  3 H 1.83-1.93
H: 0.9999 0.3475 0.5574 x18  5 Fe 1.83-1.93, 1 Rh 1.96
Rh: 0.0000 0.0000 0.5000 x3  6 H 1.96

Summary:
M_tot ... 19.127 μB per formula unit
Raw total energy ... -6.31 eV per atom
Theoretical density ... 7.7 g/cm³
DOS(E_F) ... 32.28 states/eV per cell


# 3
Material: Pm3Bi2N2
Method: DFT, PBE
State: relaxed

Cell lengths 13.4833, 3.8315, 7.8668 Å; angles 90.00, 114.78, 90.00 degrees
Closest atoms and distances in Å follow each position.
Space group C2/m (No. 12)
Asymmetric unit:
Pm: 0.0000 0.0000 0.0000 x2  2 N 2.33
Pm: 0.2131 0.0000 0.7974 x4  3 N 2.32-2.33
Bi: 0.0723 0.5000 0.3939 x4  1 Bi 3.05
N: 0.1858 0.0000 0.0691 x4  4 Pm 2.32-2.33

Summary:
M_tot ... 0.000 μB per formula unit
Formation energy without anion corrections ... -6.93 eV/f.u.
Theoretical density ... 7.9 g/cm³
DOS(E_F) ... 3.34 states/eV per cell


# 4
Material: Pd2SCl
Method: DFT, PBE
State: relaxed

Cell lengths 3.9712, 3.9712, 19.3332 Å; angles 90.00, 90.00, 120.00 degrees
Closest atoms and distances in Å follow each position.
Space group R-3m (No. 166, hexagonal axes)
Asymmetric unit:
Pd: 0.0000 0.0000 0.1242 x6  1 Cl 2.40, 3 S 2.44
S: 0.0000 0.0000 0.5000 x3  6 Pd 2.44
Cl: 0.0000 0.0000 0.0000 x3  2 Pd 2.40

Summary:
M_tot ... 0.000 μB per formula unit
Formation energy without anion corrections ... -0.50 eV/f.u.
Theoretical density ... 5.3 g/cm³
DOS(E_F) ... 11.40 states/eV per cell


# 5
Material: SmMgPb6
Method: DFT, PBE
State: relaxed

Cell lengths 9.9054, 9.9135, 4.7513 Å; angles 90.00, 90.00, 90.00 degrees
Closest atoms and distances in Å follow each position.
Space group Cmmm (No. 65)
Asymmetric unit:
Sm: 0.0000 0.0000 0.0000 x2  12 Pb 3.50
Mg: 0.0000 0.5000 0.0000 x2  12 Pb 3.36-3.50
Pb: 0.0000 0.2595 0.5000 x4  2 Mg 3.37, 8 Pb 3.37-3.64, 2 Sm 3.50
Pb: 0.2402 0.5000 0.5000 x4  2 Mg 3.36, 8 Pb 3.37-3.64, 2 Sm 3.50
Pb: 0.2500 0.2500 0.0000 x4  8 Pb 3.43, 2 Mg 3.50, 2 Sm 3.50

Summary:
M_tot ... 0.000 μB per formula unit
Theoretical density ... 10.1 g/cm³
Energy relative to the elements ... -15 kJ/mol of atoms
DOS(E_F) ... 9.43 states/eV per cell


# 6
Material: Na2USbO6
Method: DFT, PBE
State: relaxed

Cell lengths 5.8386, 5.8386, 4.1552 Å; angles 90.00, 90.00, 90.00 degrees
Closest atoms and distances in Å follow each position.
Space group P4mm (No. 99)
Asymmetric unit:
Na: 0.0000 0.5000 0.0000 x2  12 O 2.86-3.01
U: 0.0000 0.0000 0.5194 x1  6 O 2.07-2.14
Sb: 0.5000 0.5000 0.5190 x1  6 O 1.99-2.09
O: 0.0000 0.0000 0.0202 x1  2 U 2.07-2.08
O: 0.2589 0.2589 0.5253 x4  1 Sb 1.99, 1 U 2.14
O: 0.5000 0.5000 0.0222 x1  2 Sb 2.06-2.09

Summary:
M_tot ... 1.007 μB per formula unit
Formation energy without anion corrections ... -21.70 eV/f.u.
Theoretical density ... 5.9 g/cm³
DOS(E_F) ... 2.88 states/eV per cell


# 7
Material: Th6Tl2Ru
Method: DFT, PBE
State: relaxed

Cell lengths 6.3357, 8.2360, 12.1450 Å; angles 90.00, 119.64, 90.00 degrees
Closest atoms and distances in Å follow each position.
Space group P2_1/c (No. 14)
Asymmetric unit:
Th: 0.0666 0.1884 0.4568 x4  1 Ru 2.97, 2 Tl 3.24-3.31
Th: 0.3333 0.6700 0.4571 x4  1 Ru 2.87
Th: 0.3744 0.0229 0.2494 x4  1 Ru 2.75
Tl: 0.1408 0.1171 0.7468 x4  9 Th 3.24-3.52
Ru: 0.5000 0.0000 0.5000 x2  6 Th 2.75-2.97

Summary:
M_tot ... 0.000 μB per formula unit
Theoretical density ... 11.5 g/cm³
Energy relative to the elements ... -8 kJ/mol of atoms
DOS(E_F) ... 21.98 states/eV per cell


# 8
Material: YAlTl
Method: DFT, PBE
State: relaxed

Cell lengths 4.7855, 4.7855, 3.5743 Å; angles 90.00, 90.00, 120.00 degrees
Closest atoms and distances in Å follow each position.
Space group P-6m2 (No. 187)
Asymmetric unit:
Y: 0.0000 0.0000 0.0000 x1  6 Al 3.29, 6 Tl 3.29, 2 Y 3.57
Al: 0.6667 0.3333 0.5000 x1  3 Tl 2.76
Tl: 0.3333 0.6667 0.5000 x1  3 Al 2.76

Summary:
M_tot ... 0.000 μB per formula unit
Theoretical density ... 7.5 g/cm³
Energy relative to the elements ... -28 kJ/mol of atoms
DOS(E_F) ... 0.57 states/eV per cell